## CaCr2SiO6 (PBE with a Hubbard U)

Data for a relaxed structure of CaCr2SiO6.

Computed properties:
total magnetization: 6.00 μB/f.u.
mass density: 4.24 Mg/m³
E: -7.5406 eV per atom
N(E_F): 0.00 states/eV per atom

Cell lengths 5.118, 5.118, 5.494 Å; angles 62.24, 62.24, 60.00 degrees
Site moments in Bohr magnetons follow the coordinates.
Sites, in units of the cell vectors:
1 Ca 0.799 0.799 0.603  0.01
2 Cr 0.520 0.520 0.440  3.02
3 Cr 0.010 0.010 0.969  2.97
4 Si 0.323 0.323 0.030  0.02
5 O 0.576 0.252 0.221  -0.03
6 O 0.252 0.951 0.221  -0.03
7 O 0.951 0.576 0.221  -0.03
8 O 0.366 0.701 0.770  -0.04
9 O 0.701 0.163 0.770  -0.04
10 O 0.163 0.366 0.770  -0.04